Entry 1:
Crystalline Na3ZnSn3Se8 at its relaxed geometry. Source: the Alexandria database, functional PBE.

Cell: 13.6530 7.8819 8.5647 Å, 90.00 122.10 90.00°
Space group C2/m (No. 12)
Unique sites:
Na 0.0000 0.0000 0.0000 (multiplicity 2)
Na 0.2500 0.2500 0.0000 (multiplicity 4)
Zn 0.0000 0.0000 0.5000 (multiplicity 2)
Sn 0.0000 0.5000 0.5000 (multiplicity 2)
Sn 0.2500 0.2500 0.5000 (multiplicity 4)
Se 0.0109 0.2434 0.2895 (multiplicity 8)
Se 0.2327 0.0000 0.7110 (multiplicity 4)
Se 0.2430 0.5000 0.7271 (multiplicity 4)

Results
The value obtained for the density of states at the Fermi level is 4.17 states/eV/cell. The total moment comes out at 0.0 Bohr magnetons per cell. The formation energy (no corrections) is -608 meV/atom.



Entry 2:
Crystalline Na4ZnSn3Se8 at its relaxed geometry. Source: the Alexandria database, functional PBE.

Cell: 8.0141 8.0141 21.3369 Å, 90.00 90.00 120.00°
Space group R-3m (No. 166, hexagonal axes)
Unique sites:
Na 0.0000 0.0000 0.0000 (multiplicity 3)
Na 0.0000 0.5000 0.0000 (multiplicity 9)
Zn 0.0000 0.0000 0.5000 (multiplicity 3)
Sn 0.0000 0.5000 0.5000 (multiplicity 9)
Se 0.0000 0.0000 0.2435 (multiplicity 6)
Se 0.0114 0.5057 0.2392 (multiplicity 18)

Results
The value obtained for the density of states at the Fermi level is 11.26 states/eV/cell. The total moment comes out at 0.0 Bohr magnetons per cell. The formation energy (no corrections) is -690 meV/atom.



Entry 3:
Crystalline Na2ZrSnSe4 at its relaxed geometry. Source: the Alexandria database, functional PBE.

Cell: 7.2734 4.0455 7.2867 Å, 90.00 108.17 90.00°
Space group P2/m (No. 10)
Unique sites:
Na 0.0000 0.0000 0.0000 (multiplicity 1)
Na 0.0000 0.5000 0.5000 (multiplicity 1)
Zr 0.5000 0.0000 0.5000 (multiplicity 1)
Sn 0.5000 0.5000 0.0000 (multiplicity 1)
Se 0.2729 0.0000 0.7322 (multiplicity 2)
Se 0.2798 0.5000 0.2753 (multiplicity 2)

Results
The value obtained for the density of states at the Fermi level is 0.68 states/eV/cell. The total moment comes out at 0.0 Bohr magnetons per cell. The formation energy (no corrections) is -1068 meV/atom.



Entry 4:
Crystalline Na2ZrSn3Se6 at its relaxed geometry. Source: the Alexandria database, functional PBE.

Cell: 7.3294 12.6891 7.2624 Å, 90.00 109.09 90.00°
Space group C2/m (No. 12)
Unique sites:
Na 0.0000 0.1698 0.0000 (multiplicity 4)
Zr 0.0000 0.5000 0.0000 (multiplicity 2)
Sn 0.0000 0.0000 0.5000 (multiplicity 2)
Sn 0.0000 0.3390 0.5000 (multiplicity 4)
Se 0.2248 0.5000 0.7554 (multiplicity 4)
Se 0.2299 0.3502 0.2319 (multiplicity 8)

Results
The total moment comes out at 0.0 Bohr magnetons per cell. The formation energy (no corrections) is -846 meV/atom.



Entry 5:
Crystalline NaSrSe3 at its relaxed geometry. Source: the Alexandria database, functional PBE.

Cell: 5.2270 5.2270 5.2270 Å, 90.00 90.00 90.00°
Space group Pm-3m (No. 221)
Unique sites:
Na 0.0000 0.0000 0.0000 (multiplicity 1)
Sr 0.5000 0.5000 0.5000 (multiplicity 1)
Se 0.0000 0.0000 0.5000 (multiplicity 3)

Results
The energy above the most stable polymorph in this dataset is 0 meV per atom. The value obtained for the density of states at the Fermi level is 6.46 states/eV/cell. The total moment comes out at 1.7 Bohr magnetons per cell. The formation energy (no corrections) is -454 meV/atom.



Entry 6:
Crystalline Na2Sr2Se at its relaxed geometry. Source: the Alexandria database, functional PBE.

Cell: 8.2423 8.2423 6.6436 Å, 90.00 90.00 90.00°
Space group P4/mbm (No. 127)
Unique sites:
Na 0.1419 0.3581 0.0000 (multiplicity 4)
Sr 0.1825 0.6825 0.5000 (multiplicity 4)
Se 0.0000 0.0000 0.5000 (multiplicity 2)

Results
The energy above the most stable polymorph in this dataset is 0 meV per atom. The value obtained for the density of states at the Fermi level is 6.51 states/eV/cell. The total moment comes out at 0.0 Bohr magnetons per cell. The formation energy (no corrections) is -522 meV/atom.



Entry 7:
Crystalline NaSrSe3 at its relaxed geometry. Source: the Alexandria database, functional PBE.

Cell: 5.9126 5.9126 5.9126 Å, 90.00 90.00 90.00°
Space group Pm-3m (No. 221)
Unique sites:
Na 0.0000 0.0000 0.0000 (multiplicity 1)
Sr 0.5000 0.5000 0.5000 (multiplicity 1)
Se 0.0000 0.5000 0.5000 (multiplicity 3)

Results
The energy above the most stable polymorph in this dataset is 89 meV per atom. The value obtained for the density of states at the Fermi level is 1.89 states/eV/cell. The total moment comes out at 3.0 Bohr magnetons per cell. The formation energy (no corrections) is -366 meV/atom.



Entry 8:
Crystalline NaSr5Se6 at its relaxed geometry. Source: the Alexandria database, functional PBE.

Cell: 7.6849 13.3196 7.6825 Å, 90.00 109.47 90.00°
Space group C2/m (No. 12)
Unique sites:
Na 0.0000 0.0000 0.0000 (multiplicity 2)
Sr 0.0000 0.1648 0.5000 (multiplicity 4)
Sr 0.0000 0.3329 0.0000 (multiplicity 4)
Sr 0.0000 0.5000 0.5000 (multiplicity 2)
Se 0.2481 0.3321 0.7484 (multiplicity 8)
Se 0.2477 0.5000 0.2504 (multiplicity 4)

Results
The value obtained for the density of states at the Fermi level is 19.16 states/eV/cell. The total moment comes out at 0.0 Bohr magnetons per cell. The formation energy (no corrections) is -1793 meV/atom.



Entry 9:
Crystalline NaSr2Se at its relaxed geometry. Source: the Alexandria database, functional PBE.

Cell: 4.2367 4.2367 34.0181 Å, 90.00 90.00 120.00°
Space group R-3m (No. 166, hexagonal axes)
Unique sites:
Na 0.0000 0.0000 0.0000 (multiplicity 3)
Sr 0.0000 0.0000 0.1109 (multiplicity 6)
Se 0.0000 0.0000 0.5000 (multiplicity 3)

Results
The value obtained for the density of states at the Fermi level is 10.24 states/eV/cell. The total moment comes out at 0.0 Bohr magnetons per cell. The formation energy (no corrections) is -826 meV/atom.



Entry 10:
Crystalline NaSr2Se at its relaxed geometry. Source: the Alexandria database, functional PBE.

Cell: 9.0473 9.0473 8.5404 Å, 90.00 90.00 90.00°
Space group I-42d (No. 122)
Unique sites:
Na 0.0000 0.0000 0.0000 (multiplicity 4)
Sr 0.1840 0.7500 0.6250 (multiplicity 8)
Se 0.0000 0.0000 0.5000 (multiplicity 4)

Results
The value obtained for the density of states at the Fermi level is 8.28 states/eV/cell. The total moment comes out at 0.0 Bohr magnetons per cell. The formation energy (no corrections) is -728 meV/atom.



Entry 11:
Crystalline Na2Sr2Se at its relaxed geometry. Source: the Alexandria database, functional PBE.

Cell: 8.0118 8.0118 5.6966 Å, 90.00 90.00 90.00°
Space group P4/mbm (No. 127)
Unique sites:
Na 0.1449 0.3551 0.0000 (multiplicity 4)
Sr 0.1763 0.6763 0.5000 (multiplicity 4)
Se 0.0000 0.0000 0.0000 (multiplicity 2)

Results
The energy above the most stable polymorph in this dataset is 188 meV per atom. The value obtained for the density of states at the Fermi level is 6.51 states/eV/cell. The total moment comes out at 0.0 Bohr magnetons per cell. The formation energy (no corrections) is -334 meV/atom.



Entry 12:
Crystalline Na2SrSe2 at its relaxed geometry. Source: the Alexandria database, functional PBE.

Cell: 8.2470 8.2470 4.1635 Å, 90.00 90.00 90.00°
Space group P4/mbm (No. 127)
Unique sites:
Na 0.1279 0.3721 0.0000 (multiplicity 4)
Sr 0.0000 0.0000 0.5000 (multiplicity 2)
Se 0.1781 0.6781 0.5000 (multiplicity 4)

Results
The energy above the most stable polymorph in this dataset is 102 meV per atom. The value obtained for the density of states at the Fermi level is 0.00 states/eV/cell. The total moment comes out at 0.0 Bohr magnetons per cell. The formation energy (no corrections) is -1150 meV/atom.



Copy entry 7 word for word.
Crystalline NaSrSe3 at its relaxed geometry. Source: the Alexandria database, functional PBE.

Cell: 5.9126 5.9126 5.9126 Å, 90.00 90.00 90.00°
Space group Pm-3m (No. 221)
Unique sites:
Na 0.0000 0.0000 0.0000 (multiplicity 1)
Sr 0.5000 0.5000 0.5000 (multiplicity 1)
Se 0.0000 0.5000 0.5000 (multiplicity 3)

Results
The energy above the most stable polymorph in this dataset is 89 meV per atom. The value obtained for the density of states at the Fermi level is 1.89 states/eV/cell. The total moment comes out at 3.0 Bohr magnetons per cell. The formation energy (no corrections) is -366 meV/atom.